#w
Below is a geometry-optimized B3C2 structure, with properties calculated at the PBE level.

Values from the calculation:
Theoretical density, g/cm³: 2.62

abc: 2.711 2.711 19.452
angles: 90.00 90.00 90.00
Space group I-4m2 (No. 119)
One atom of each set of equivalent atoms:
B (0.000, 0.000, 0.000) x2
B (0.000, 0.000, 0.185) x4
B (0.000, 0.000, 0.407) x4
B (0.000, 0.500, 0.750) x2
C (0.000, 0.500, 0.147) x4
C (0.000, 0.500, 0.550) x4


#x
Below is a geometry-optimized B3C2 structure, with properties calculated at the PBE level.

Values from the calculation:
Theoretical density, g/cm³: 2.63

abc: 2.7032 2.7032 33.7939
angles: 90.00 90.00 120.00
Space group R3m (No. 160, hexagonal axes)
One atom of each set of equivalent atoms:
B (0.0000, 0.0000, 0.0000) x3
B (0.0000, 0.0000, 0.0501) x3
B (0.0000, 0.0000, 0.4123) x3
B (0.0000, 0.0000, 0.5978) x3
B (0.0000, 0.0000, 0.6610) x3
B (0.0000, 0.0000, 0.8549) x3
C (0.0000, 0.0000, 0.2087) x3
C (0.0000, 0.0000, 0.2523) x3
C (0.0000, 0.0000, 0.4590) x3
C (0.0000, 0.0000, 0.8073) x3


The structure with the least stability is #x.


#w
Below is a geometry-optimized B3C2 structure, with properties calculated at the PBE level.

Values from the calculation:
Theoretical density, g/cm³: 2.80

abc: 6.271 6.271 3.405
angles: 90.00 90.00 90.00
Space group I4_1 (No. 80)
One atom of each set of equivalent atoms:
B (0.000, 0.000, 0.000) x4
B (0.075, 0.247, 0.457) x8
C (0.122, 0.814, 0.742) x8


#x
Below is a geometry-optimized B3C2 structure, with properties calculated at the PBE level.

Values from the calculation:
Theoretical density, g/cm³: 2.76

abc: 8.807 2.561 6.438
angles: 90.00 110.49 90.00
Space group Cm (No. 8)
One atom of each set of equivalent atoms:
B (0.000, 0.000, 0.000) x2
B (0.031, 0.000, 0.753) x2
B (0.159, 0.500, 0.133) x2
B (0.277, 0.500, 0.895) x2
B (0.377, 0.500, 0.179) x2
B (0.409, 0.000, 0.547) x2
C (0.143, 0.500, 0.387) x2
C (0.208, 0.000, 0.751) x2
C (0.224, 0.000, 0.522) x2
C (0.462, 0.000, 0.340) x2


#y
Below is a geometry-optimized B3C2 structure, with properties calculated at the PBE level.

Values from the calculation:
Theoretical density, g/cm³: 2.34

abc: 2.6663 2.6663 39.0267
angles: 90.00 90.00 120.00
Space group R3m (No. 160, hexagonal axes)
One atom of each set of equivalent atoms:
B (0.0000, 0.0000, 0.0000) x3
B (0.0000, 0.0000, 0.0998) x3
B (0.0000, 0.0000, 0.2635) x3
B (0.0000, 0.0000, 0.4803) x3
B (0.0000, 0.0000, 0.6226) x3
B (0.0000, 0.0000, 0.8720) x3
C (0.0000, 0.0000, 0.2239) x3
C (0.0000, 0.0000, 0.4372) x3
C (0.0000, 0.0000, 0.6633) x3
C (0.0000, 0.0000, 0.8314) x3


#z
Below is a geometry-optimized B3C2 structure, with properties calculated at the PBE level.

Values from the calculation:
Theoretical density, g/cm³: 2.74

abc: 3.471 4.589 4.777
angles: 82.69 73.62 69.93
Space group P-1 (No. 2)
One atom of each set of equivalent atoms:
B (0.004, 0.001, 0.323) x2
B (0.182, 0.313, 0.457) x2
B (0.294, 0.429, 0.779) x2
C (0.364, 0.744, 0.792) x2
C (0.431, 0.857, 0.058) x2


The structure with the least stability is #w.


#w
Below is a geometry-optimized B3C2 structure, with properties calculated at the PBE level.

Values from the calculation:
Theoretical density, g/cm³: 2.65

abc: 8.797 2.660 6.716
angles: 90.00 115.79 90.00
Space group Cm (No. 8)
One atom of each set of equivalent atoms:
B (0.000, 0.000, 0.000) x2
B (0.004, 0.000, 0.559) x2
B (0.244, 0.000, 0.747) x2
B (0.279, 0.500, 0.104) x2
B (0.384, 0.000, 0.553) x2
B (0.410, 0.000, 0.309) x2
C (0.098, 0.500, 0.100) x2
C (0.101, 0.500, 0.331) x2
C (0.177, 0.000, 0.468) x2
C (0.301, 0.500, 0.878) x2


#x
Below is a geometry-optimized B3C2 structure, with properties calculated at the PBE level.

Values from the calculation:
Theoretical density, g/cm³: 1.96

abc: 3.632 3.759 3.873
angles: 115.14 90.73 93.74
Space group P-1 (No. 2)
One atom of each set of equivalent atoms:
B (0.000, 0.000, 0.000) x1
B (0.268, 0.497, 0.998) x2
C (0.004, 0.587, 0.709) x2


The structure with the least stability is #x.


#w
Below is a geometry-optimized B3C2 structure, with properties calculated at the PBE level.

Values from the calculation:
Theoretical density, g/cm³: 2.68

abc: 8.430 2.723 3.052
angles: 90.00 92.68 90.00
Space group Cm (No. 8)
One atom of each set of equivalent atoms:
B (0.000, 0.000, 0.000) x2
B (0.118, 0.500, 0.522) x2
B (0.264, 0.000, 0.266) x2
C (0.169, 0.000, 0.766) x2
C (0.450, 0.000, 0.198) x2


#x
Below is a geometry-optimized B3C2 structure, with properties calculated at the PBE level.

Values from the calculation:
Theoretical density, g/cm³: 2.86

abc: 8.744 2.528 7.175
angles: 90.00 124.28 90.00
Space group C2/m (No. 12)
One atom of each set of equivalent atoms:
B (0.047, 0.000, 0.417) x4
B (0.098, 0.500, 0.806) x4
B (0.242, 0.500, 0.582) x4
C (0.100, 0.500, 0.031) x4
C (0.206, 0.000, 0.165) x4


#y
Below is a geometry-optimized B3C2 structure, with properties calculated at the PBE level.

Values from the calculation:
Theoretical density, g/cm³: 2.60

abc: 9.177 2.560 6.904
angles: 90.00 117.35 90.00
Space group Cm (No. 8)
One atom of each set of equivalent atoms:
B (0.000, 0.000, 0.000) x2
B (0.034, 0.000, 0.652) x2
B (0.078, 0.500, 0.307) x2
B (0.205, 0.000, 0.515) x2
B (0.289, 0.500, 0.132) x2
B (0.390, 0.000, 0.512) x2
C (0.099, 0.500, 0.089) x2
C (0.223, 0.000, 0.769) x2
C (0.303, 0.500, 0.889) x2
C (0.395, 0.000, 0.288) x2


#z
Below is a geometry-optimized B3C2 structure, with properties calculated at the PBE level.

Values from the calculation:
Theoretical density, g/cm³: 2.31

abc: 2.710 14.325 4.179
angles: 90.00 90.00 90.00
Space group Imm2 (No. 44)
One atom of each set of equivalent atoms:
B (0.000, 0.000, 0.000) x2
B (0.000, 0.106, 0.300) x4
B (0.000, 0.264, 0.513) x4
B (0.000, 0.500, 0.224) x2
C (0.000, 0.211, 0.177) x4
C (0.000, 0.444, 0.887) x4


The structure with the least stability is #y.


#w
Below is a geometry-optimized BC9 structure, with properties calculated at the PBE level.

Values from the calculation:
Theoretical density, g/cm³: 3.35

abc: 2.5406 2.5406 31.6153
angles: 90.00 90.00 120.00
Space group R3m (No. 160, hexagonal axes)
One atom of each set of equivalent atoms:
B (0.0000, 0.0000, 0.0000) x3
C (0.0000, 0.0000, 0.1513) x3
C (0.0000, 0.0000, 0.2003) x3
C (0.0000, 0.0000, 0.3550) x3
C (0.0000, 0.0000, 0.4026) x3
C (0.0000, 0.0000, 0.5500) x3
C (0.0000, 0.0000, 0.5991) x3
C (0.0000, 0.0000, 0.7528) x3
C (0.0000, 0.0000, 0.8017) x3
C (0.0000, 0.0000, 0.9488) x3


#x
Below is a geometry-optimized BC9 structure, with properties calculated at the PBE level.

Values from the calculation:
Theoretical density, g/cm³: 3.35

abc: 5.692 5.692 3.636
angles: 90.00 90.00 90.00
Space group I-4 (No. 82)
One atom of each set of equivalent atoms:
B (0.000, 0.000, 0.000) x2
C (0.000, 0.500, 0.750) x2
C (0.101, 0.301, 0.499) x8
C (0.103, 0.795, 0.259) x8


The structure with the least stability is #x.


#w
Below is a geometry-optimized BC11 structure, with properties calculated at the PBE level.

Values from the calculation:
Theoretical density, g/cm³: 3.37

abc: 13.284 2.523 4.440
angles: 90.00 109.10 90.00
Space group Cm (No. 8)
One atom of each set of equivalent atoms:
B (0.000, 0.000, 0.000) x2
C (0.122, 0.500, 0.616) x2
C (0.126, 0.000, 0.119) x2
C (0.165, 0.000, 0.824) x2
C (0.165, 0.500, 0.324) x2
C (0.288, 0.500, 0.446) x2
C (0.289, 0.000, 0.946) x2
C (0.330, 0.000, 0.652) x2
C (0.330, 0.500, 0.156) x2
C (0.450, 0.000, 0.760) x2
C (0.454, 0.500, 0.286) x2
C (0.496, 0.000, 0.489) x2


#x
Below is a geometry-optimized BC11 structure, with properties calculated at the PBE level.

Values from the calculation:
Theoretical density, g/cm³: 3.38

abc: 3.596 10.850 3.600
angles: 90.00 90.00 90.00
Space group C222 (No. 21)
One atom of each set of equivalent atoms:
B (0.000, 0.000, 0.000) x2
C (0.000, 0.167, 0.500) x4
C (0.000, 0.333, 0.000) x4
C (0.000, 0.500, 0.500) x2
C (0.245, 0.414, 0.256) x8
C (0.250, 0.250, 0.753) x4


The structure with the least stability is #x.


#w
Below is a geometry-optimized BC11 structure, with properties calculated at the PBE level.

Values from the calculation:
Theoretical density, g/cm³: 3.38

abc: 2.522 7.663 3.637
angles: 90.00 90.00 90.00
Space group Pmm2 (No. 25)
One atom of each set of equivalent atoms:
B (0.000, 0.000, 0.000) x1
C (0.000, 0.174, 0.761) x2
C (0.000, 0.336, 0.010) x2
C (0.000, 0.500, 0.760) x1
C (0.500, 0.000, 0.296) x1
C (0.500, 0.170, 0.514) x2
C (0.500, 0.335, 0.258) x2
C (0.500, 0.500, 0.511) x1


#x
Below is a geometry-optimized BC11 structure, with properties calculated at the PBE level.

Values from the calculation:
Theoretical density, g/cm³: 3.38

abc: 8.055 3.621 5.075
angles: 90.00 108.26 90.00
Space group C2 (No. 5)
One atom of each set of equivalent atoms:
B (0.000, 0.000, 0.000) x2
C (0.000, 0.995, 0.500) x2
C (0.001, 0.733, 0.256) x4
C (0.167, 0.242, 0.583) x4
C (0.167, 0.495, 0.335) x4
C (0.167, 0.497, 0.833) x4
C (0.171, 0.252, 0.086) x4


The structure with the least stability is #x.


#w
Below is a geometry-optimized BC11 structure, with properties calculated at the PBE level.

Values from the calculation:
Theoretical density, g/cm³: 3.38

abc: 4.438 2.525 6.275
angles: 90.00 90.39 90.00
Space group Pm (No. 6)
One atom of each set of equivalent atoms:
B (0.000, 0.000, 0.000) x1
C (0.007, 0.000, 0.253) x1
C (0.180, 0.500, 0.658) x1
C (0.192, 0.500, 0.900) x1
C (0.343, 0.000, 0.327) x1
C (0.346, 0.000, 0.573) x1
C (0.507, 0.500, 0.992) x1
C (0.508, 0.500, 0.244) x1
C (0.669, 0.000, 0.908) x1
C (0.675, 0.000, 0.662) x1
C (0.841, 0.500, 0.332) x1
C (0.841, 0.500, 0.580) x1


#x
Below is a geometry-optimized BC11 structure, with properties calculated at the PBE level.

Values from the calculation:
Theoretical density, g/cm³: 3.37

abc: 2.526 2.526 11.018
angles: 90.00 90.00 90.00
Space group P-4m2 (No. 115)
One atom of each set of equivalent atoms:
B (0.000, 0.000, 0.000) x1
C (0.000, 0.000, 0.338) x2
C (0.000, 0.500, 0.096) x2
C (0.000, 0.500, 0.419) x2
C (0.000, 0.500, 0.743) x2
C (0.500, 0.500, 0.174) x2
C (0.500, 0.500, 0.500) x1


#y
Below is a geometry-optimized BC11 structure, with properties calculated at the PBE level.

Values from the calculation:
Theoretical density, g/cm³: 3.38

abc: 4.423 7.631 4.428
angles: 90.00 109.81 90.00
Space group Cm (No. 8)
One atom of each set of equivalent atoms:
B (0.000, 0.000, 0.000) x2
C (0.000, 0.167, 0.501) x4
C (0.114, 0.500, 0.872) x2
C (0.124, 0.334, 0.373) x4
C (0.125, 0.000, 0.385) x2
C (0.127, 0.172, 0.872) x4
C (0.498, 0.166, 0.999) x4
C (0.499, 0.000, 0.501) x2


The structure with the least stability is #y.